No. 1
# K3Cd2Au PBE relaxed
data_K3Cd2Au
_space_group_name_H-M_alt 'C 1 2/c 1'
_space_group_IT_number 15
_space_group_name_Hall '-C 2yc'
_cell_length_a 11.348
_cell_length_b 10.583
_cell_length_c 8.602
_cell_angle_alpha 90.00
_cell_angle_beta 107.34
_cell_angle_gamma 90.00
loop_
_atom_site_label
_atom_site_type_symbol
_atom_site_fract_x
_atom_site_fract_y
_atom_site_fract_z
K1 K 0.000 0.113 0.250
K2 K 0.176 0.426 0.982
Cd1 Cd 0.195 0.236 0.630
Au1 Au 0.000 0.198 0.750
# E_tot   -1.54 eV per atom

=====

No. 2
# TiReS3 PBE relaxed
data_TiReS3
_space_group_name_H-M_alt 'P m -3 m'
_space_group_IT_number 221
_space_group_name_Hall '-P 4 2 3'
_cell_length_a 4.677
_cell_length_b 4.677
_cell_length_c 4.677
_cell_angle_alpha 90.00
_cell_angle_beta 90.00
_cell_angle_gamma 90.00
loop_
_atom_site_label
_atom_site_type_symbol
_atom_site_fract_x
_atom_site_fract_y
_atom_site_fract_z
Ti1 Ti 0.000 0.000 0.000
Re1 Re 0.500 0.500 0.500
S1 S 0.000 0.000 0.500
# E_tot   -5.97 eV per atom
# Formation energy without anion corrections   55 kJ per mole of atoms

=====

No. 3
# Tb5Ag PBE relaxed
data_Tb5Ag
_space_group_name_H-M_alt 'C m m m'
_space_group_IT_number 65
_space_group_name_Hall '-C 2 2'
_cell_length_a 4.751
_cell_length_b 15.055
_cell_length_c 4.888
_cell_angle_alpha 90.00
_cell_angle_beta 90.00
_cell_angle_gamma 90.00
loop_
_atom_site_label
_atom_site_type_symbol
_atom_site_fract_x
_atom_site_fract_y
_atom_site_fract_z
Tb1 Tb 0.000 0.000 0.000
Tb2 Tb 0.000 0.162 0.500
Tb3 Tb 0.000 0.330 0.000
Ag1 Ag 0.000 0.500 0.500
# E_tot   -4.32 eV per atom

=====

No. 4
# BaNaTbIn PBE relaxed
data_BaNaTbIn
_space_group_name_H-M_alt 'F -4 3 m'
_space_group_IT_number 216
_space_group_name_Hall 'F -4 2 3'
_cell_length_a 8.191
_cell_length_b 8.191
_cell_length_c 8.191
_cell_angle_alpha 90.00
_cell_angle_beta 90.00
_cell_angle_gamma 90.00
loop_
_atom_site_label
_atom_site_type_symbol
_atom_site_fract_x
_atom_site_fract_y
_atom_site_fract_z
Ba1 Ba 0.000 0.000 0.000
Na1 Na 0.250 0.250 0.750
Tb1 Tb 0.000 0.000 0.500
In1 In 0.250 0.250 0.250
# E_tot   -2.71 eV per atom

=====

No. 5
# SmDy PBE relaxed
data_SmDy
_space_group_name_H-M_alt 'P m -3 m'
_space_group_IT_number 221
_space_group_name_Hall '-P 4 2 3'
_cell_length_a 4.042
_cell_length_b 4.042
_cell_length_c 4.042
_cell_angle_alpha 90.00
_cell_angle_beta 90.00
_cell_angle_gamma 90.00
loop_
_atom_site_label
_atom_site_type_symbol
_atom_site_fract_x
_atom_site_fract_y
_atom_site_fract_z
Sm1 Sm 0.000 0.000 0.000
Dy1 Dy 0.500 0.500 0.500
# E_tot   -4.53 eV per atom

=====

No. 6
# Na2PuHf2Se6 PBE relaxed
data_Na2PuHf2Se6
_space_group_name_H-M_alt 'C 1 2/m 1'
_space_group_IT_number 12
_space_group_name_Hall '-C 2y'
_cell_length_a 6.810
_cell_length_b 11.938
_cell_length_c 7.460
_cell_angle_alpha 90.00
_cell_angle_beta 107.35
_cell_angle_gamma 90.00
loop_
_atom_site_label
_atom_site_type_symbol
_atom_site_fract_x
_atom_site_fract_y
_atom_site_fract_z
Na1 Na 0.000 0.160 0.000
Pu1 Pu 0.000 0.000 0.500
Hf1 Hf 0.000 0.333 0.500
Se1 Se 0.213 0.500 0.722
Se2 Se 0.248 0.178 0.721
# E_tot   -6.60 eV per atom
# Formation energy without anion corrections   -130 kJ per mole of atoms

=====

No. 7
# TbTh4Bi6 PBE relaxed
data_TbTh4Bi6
_space_group_name_H-M_alt 'R -3 c'
_space_group_IT_number 167
_space_group_name_Hall '-R 3 2"c'
_cell_length_a 12.7228
_cell_length_b 12.7228
_cell_length_c 15.5938
_cell_angle_alpha 90.00
_cell_angle_beta 90.00
_cell_angle_gamma 120.00
loop_
_atom_site_label
_atom_site_type_symbol
_atom_site_fract_x
_atom_site_fract_y
_atom_site_fract_z
Tb1 Tb 0.0000 0.0000 0.0000
Th1 Th 0.0000 0.0000 0.2500
Th2 Th 0.0000 0.3936 0.2500
Bi1 Bi 0.0361 0.2141 0.3847
# E_tot   -5.76 eV per atom

=====

No. 8
# TlNiPb2 PBE relaxed
data_TlNiPb2
_space_group_name_H-M_alt 'R 3 m'
_space_group_IT_number 160
_space_group_name_Hall 'R 3 -2"'
_cell_length_a 3.7333
_cell_length_b 3.7333
_cell_length_c 26.7094
_cell_angle_alpha 90.00
_cell_angle_beta 90.00
_cell_angle_gamma 120.00
loop_
_atom_site_label
_atom_site_type_symbol
_atom_site_fract_x
_atom_site_fract_y
_atom_site_fract_z
Tl1 Tl 0.0000 0.0000 0.0000
Ni1 Ni 0.0000 0.0000 0.8373
Pb1 Pb 0.0000 0.0000 0.2305
Pb2 Pb 0.0000 0.0000 0.4434
# E_tot   -3.78 eV per atom